Record 1
The following is a PBE-GGA calculation of an optimized crystal structure of Y2Cu2Ir, from the Alexandria database.

- Polymorph energy (0 for the lowest one): 123 meV per atom
- Energy relative to the elements: -0.3256 eV/atom
- Space group: P4/mbm
- Calculated total energy: -6.322 eV per atom

Cell lengths 6.969, 6.969, 3.938 Å; angles 90.00, 90.00, 90.00 degrees
Fractional positions:
Y 0.187 0.313 0.000
Y 0.313 0.813 0.000
Y 0.687 0.187 0.000
Y 0.813 0.687 0.000
Cu 0.121 0.621 0.500
Cu 0.379 0.121 0.500
Cu 0.621 0.879 0.500
Cu 0.879 0.379 0.500
Ir 0.000 0.000 0.500
Ir 0.500 0.500 0.500

***

Record 2
The following is a PBE-GGA calculation of an optimized crystal structure of Y2CuIr, from the Alexandria database.

- Energy relative to the elements: -0.3588 eV/atom
- Space group: Cm
- Calculated total energy: -6.830 eV per atom

Cell lengths 5.635, 5.635, 4.855 Å; angles 104.89, 104.89, 34.09 degrees
Fractional positions:
Y 0.000 0.000 0.000
Y 0.210 0.210 0.637
Cu 0.444 0.444 0.455
Ir 0.753 0.753 0.160

***

Record 3
The following is a PBE-GGA calculation of an optimized crystal structure of Y3Cu2Ir, from the Alexandria database.

- Energy relative to the elements: -0.4185 eV/atom
- Space group: Pnma
- Calculated total energy: -6.493 eV per atom

Cell lengths 11.503, 4.192, 11.318 Å; angles 90.00, 90.00, 90.00 degrees
Fractional positions:
Y 0.048 0.250 0.126
Y 0.118 0.750 0.554
Y 0.228 0.250 0.795
Y 0.272 0.750 0.295
Y 0.382 0.250 0.054
Y 0.452 0.750 0.626
Y 0.548 0.250 0.374
Y 0.618 0.750 0.946
Y 0.728 0.250 0.705
Y 0.772 0.750 0.205
Y 0.882 0.250 0.446
Y 0.952 0.750 0.874
Cu 0.007 0.750 0.306
Cu 0.192 0.750 0.002
Cu 0.308 0.250 0.502
Cu 0.493 0.250 0.806
Cu 0.507 0.750 0.194
Cu 0.692 0.750 0.498
Cu 0.808 0.250 0.998
Cu 0.993 0.250 0.694
Ir 0.123 0.250 0.371
Ir 0.377 0.750 0.871
Ir 0.623 0.250 0.129
Ir 0.877 0.750 0.629

***

Record 4
The following is a PBE-GGA calculation of an optimized crystal structure of YCuIr4, from the Alexandria database.

- Energy relative to the elements: -0.2123 eV/atom
- Space group: F-43m
- Calculated total energy: -7.880 eV per atom

Cell lengths 5.252, 5.252, 5.252 Å; angles 60.00, 60.00, 60.00 degrees
Fractional positions:
Y 0.000 0.000 0.000
Cu 0.750 0.750 0.750
Ir 0.375 0.375 0.375
Ir 0.375 0.375 0.874
Ir 0.375 0.874 0.375
Ir 0.874 0.375 0.375

***

Record 5
The following is a PBE-GGA calculation of an optimized crystal structure of YCuIr, from the Alexandria database.

- Polymorph energy (0 for the lowest one): 271 meV per atom
- Energy relative to the elements: -0.2891 eV/atom
- Space group: I4mm
- Calculated total energy: -6.763 eV per atom

Cell lengths 5.234, 5.234, 5.234 Å; angles 141.90, 141.90, 54.97 degrees
Fractional positions:
Y 0.000 0.000 0.000
Cu 0.307 0.307 0.000
Ir 0.680 0.680 0.000

***

Record 6
The following is a PBE-GGA calculation of an optimized crystal structure of Y6Cu2Ir, from the Alexandria database.

- Energy relative to the elements: -0.3178 eV/atom
- Space group: Immm
- Calculated total energy: -6.522 eV per atom

Cell lengths 8.324, 8.324, 8.324 Å; angles 110.02, 109.40, 108.99 degrees
Fractional positions:
Y 0.069 0.244 0.825
Y 0.205 0.534 0.329
Y 0.205 0.877 0.671
Y 0.317 0.240 0.557
Y 0.317 0.760 0.077
Y 0.418 0.244 0.175
Y 0.582 0.756 0.825
Y 0.683 0.240 0.923
Y 0.683 0.760 0.443
Y 0.795 0.123 0.329
Y 0.795 0.466 0.671
Y 0.931 0.756 0.175
Cu 0.000 0.121 0.121
Cu 0.000 0.879 0.879
Cu 0.147 0.500 0.647
Cu 0.853 0.500 0.353
Ir 0.500 0.000 0.500
Ir 0.500 0.500 0.000

***

Record 7
The following is a PBE-GGA calculation of an optimized crystal structure of Y2CuIr, from the Alexandria database.

- Energy relative to the elements: -0.6116 eV/atom
- Space group: P2_1/m
- Calculated total energy: -7.083 eV per atom

Cell lengths 5.602, 4.301, 7.723 Å; angles 90.00, 110.47, 90.00 degrees
Fractional positions:
Y 0.215 0.250 0.436
Y 0.227 0.250 0.924
Y 0.773 0.750 0.076
Y 0.785 0.750 0.564
Cu 0.345 0.750 0.212
Cu 0.655 0.250 0.788
Ir 0.354 0.750 0.715
Ir 0.646 0.250 0.285

***

Record 8
The following is a PBE-GGA calculation of an optimized crystal structure of YCuIr, from the Alexandria database.

- Polymorph energy (0 for the lowest one): 0 meV per atom
- Energy relative to the elements: -0.5604 eV/atom
- Space group: Imma
- Calculated total energy: -7.034 eV per atom

Cell lengths 5.298, 5.298, 5.298 Å; angles 123.54, 116.78, 89.82 degrees
Fractional positions:
Y 0.374 0.124 0.250
Y 0.626 0.876 0.750
Cu 0.000 0.000 0.500
Cu 0.000 0.500 0.000
Ir 0.000 0.500 0.500
Ir 0.500 0.500 0.000